Density functional theory data (meta-GGA SCAN) for KAu3O at its PBEsol-relaxed geometry.

Structure (extended XYZ):
```
5
Lattice="-4.058 1.197 -3.625 2.266 -3.501 -3.693 -3.072 -4.165 2.063" Properties=species:S:1:pos:R:3 pbc="T T T"
Au 1.133 -1.751 -1.847
Au -1.536 -2.082 1.031
Au -2.029 0.599 -1.812
O -2.431 -3.234 -2.628
K 0.000 0.000 0.000
```

## Properties
E_tot	-212.8	eV for the cell shown
size of the total moment	2.67	μB per cell
formation energy (no corrections)	1.84	eV/atom
SG	Pm-3m (221)
DOS(E_F)	1.5032	states/eV per atom

Density functional theory data (meta-GGA SCAN) for LiZr2BAu at its PBEsol-relaxed geometry.

Structure (extended XYZ):
```
5
Lattice="4.050 0.000 0.000 0.000 4.568 0.000 0.000 0.000 4.568" Properties=species:S:1:pos:R:3 pbc="T T T"
Zr 0.000 2.284 0.000
Zr 0.000 0.000 2.284
Li 2.025 0.000 0.000
Au 2.025 2.284 2.284
B 0.000 0.000 0.000
```

## Properties
E_tot	-141.8	eV for the cell shown
energy of formation	-28	kJ per mole of atoms
size of the total moment	0.00	μB per cell
excess energy over the best structure of this formula in the dataset	0.000	eV/atom
SG	P4/mmm (123)
DOS(E_F)	0.6366	states/eV per atom

Density functional theory data (meta-GGA SCAN) for LiMg2Hg2 at its PBEsol-relaxed geometry.

Structure (extended XYZ):
```
10
Lattice="3.302 0.000 0.000 0.000 7.970 0.000 0.000 0.000 7.970" Properties=species:S:1:pos:R:3 pbc="T T T"
Mg 1.651 1.242 5.227
Mg 1.651 2.743 1.242
Mg 1.651 6.728 2.743
Mg 1.651 5.227 6.728
Li 0.000 3.985 3.985
Li 0.000 0.000 0.000
Hg 0.000 5.133 1.148
Hg 0.000 6.822 5.133
Hg 0.000 2.837 6.822
Hg 0.000 1.148 2.837
```

## Properties
E_tot	-301.0	eV for the cell shown
energy of formation	-35	kJ per mole of atoms
size of the total moment	0.00	μB per cell
SG	P4/mbm (127)
DOS(E_F)	0.2524	states/eV per atom

Density functional theory data (meta-GGA SCAN) for PrB2Rh3 at its PBEsol-relaxed geometry.

Structure (extended XYZ):
```
6
Lattice="-2.471 -1.221 1.344 -1.212 -2.640 -4.626 3.203 -2.368 3.737" Properties=species:S:1:pos:R:3 pbc="T T T"
B 0.260 -2.549 -1.838
B 1.731 -2.459 0.949
Rh 0.366 -1.795 2.541
Rh -1.841 -1.930 -1.641
Rh -0.240 -3.114 0.228
Pr 0.000 0.000 0.000
```

## Properties
E_tot	-164.0	eV for the cell shown
energy of formation	-73	kJ per mole of atoms
size of the total moment	0.01	μB per cell
SG	P6/mmm (191)
DOS(E_F)	0.5086	states/eV per atom

Density functional theory data (meta-GGA SCAN) for ErCrGeO5 at its PBEsol-relaxed geometry.

Structure (extended XYZ):
```
32
Lattice="5.705 0.000 0.000 0.000 7.211 0.000 0.000 0.000 8.348" Properties=species:S:1:pos:R:3 pbc="T T T"
O 4.260 2.815 6.546
O 0.000 2.483 0.658
O 4.260 4.395 1.802
O 4.260 0.790 2.372
O 1.445 2.815 6.546
O 2.852 4.844 7.873
O 4.477 0.000 0.000
O 1.445 6.421 5.976
O 0.000 6.089 3.516
O 0.000 1.122 4.832
O 2.852 1.238 4.650
O 4.260 6.421 5.976
O 2.852 5.972 3.699
O 1.445 0.790 2.372
O 1.228 0.000 0.000
O 1.228 3.605 4.174
O 1.445 4.395 1.802
O 2.852 2.367 0.475
O 0.000 4.728 7.691
O 4.477 3.605 4.174
Ge 0.000 2.783 5.397
Ge 0.000 0.823 1.223
Ge 0.000 4.428 2.951
Ge 0.000 6.388 7.125
Er 2.852 4.624 5.625
Er 2.852 2.587 2.723
Er 2.852 6.193 1.451
Er 2.852 1.018 6.897
Cr 1.436 0.000 4.174
Cr 4.269 0.000 4.174
Cr 1.436 3.605 0.000
Cr 4.269 3.605 0.000
```

## Properties
E_tot	-564.9	eV for the cell shown
size of the total moment	12.00	μB per cell
formation energy (no corrections)	-2.78	eV/atom
SG	Pbam (55)
DOS(E_F)	0.0000	states/eV per atom

Density functional theory data (meta-GGA SCAN) for LiScRh3 at its PBEsol-relaxed geometry.

Structure (extended XYZ):
```
5
Lattice="4.610 0.000 0.000 0.000 4.610 0.000 0.000 0.000 4.610" Properties=species:S:1:pos:R:3 pbc="T T T"
Rh 0.000 2.305 0.000
Rh 0.000 0.000 2.305
Rh 2.305 0.000 0.000
Li 2.305 2.305 2.305
Sc 0.000 0.000 0.000
```

## Properties
E_tot	-114.2	eV for the cell shown
energy of formation	72	kJ per mole of atoms
size of the total moment	1.38	μB per cell
SG	Pm-3m (221)
DOS(E_F)	0.5326	states/eV per atom

| no. | V (Å³ per atom) |
| --- | --- |
| 1 | 34.58 |
| 2 | 16.90 |
| 3 | 20.98 |
| 4 | 13.20 |
| 5 | 10.73 |
| 6 | 19.60 |